Computed, not measured: a relaxed Sm3Dy5Er crystal at the PBE level of DFT.

Energy relative to the elements = 2.64 eV per formula unit
Energy = -78.19 eV for the cell shown
Symmetry = C2/c, No. 15

Lattice parameters (Å, degrees): 9.5803 9.5803 11.4902 69.75 69.75 38.68
Closest atoms and distances in Å follow each position.
Sites, in units of the cell vectors:
Dy 0.8782 0.4617 0.2839  4 Dy 3.38-3.77, 3 Sm 3.41-3.67, 1 Er 3.42
Dy 0.8453 0.4709 0.9873  5 Dy 3.38-3.77, 4 Sm 3.44-3.70, 1 Er 3.53
Dy 0.4020 0.5980 0.2500  2 Er 3.04-3.30, 2 Sm 3.22
Dy 0.5980 0.4020 0.7500  2 Er 3.04-3.30, 2 Sm 3.22
Dy 0.4709 0.8453 0.4873  5 Dy 3.38-3.77, 4 Sm 3.44-3.70, 1 Er 3.53
Dy 0.4617 0.8782 0.7839  4 Dy 3.38-3.77, 3 Sm 3.41-3.67, 1 Er 3.42
Dy 0.5383 0.1218 0.2161  4 Dy 3.38-3.77, 3 Sm 3.41-3.67, 1 Er 3.42
Dy 0.1547 0.5291 0.0127  5 Dy 3.38-3.77, 4 Sm 3.44-3.70, 1 Er 3.53
Dy 0.5291 0.1547 0.5127  5 Dy 3.38-3.77, 4 Sm 3.44-3.70, 1 Er 3.53
Dy 0.1218 0.5383 0.7161  4 Dy 3.38-3.77, 3 Sm 3.41-3.67, 1 Er 3.42
Sm 0.0092 0.6485 0.3758  4 Dy 3.22-3.55, 1 Sm 3.33, 1 Er 3.46
Sm 0.9908 0.3515 0.6242  4 Dy 3.22-3.55, 1 Sm 3.33, 1 Er 3.46
Sm 0.0000 0.0000 0.5000  2 Er 2.97
Sm 0.6485 0.0092 0.8758  4 Dy 3.22-3.55, 1 Sm 3.33, 1 Er 3.46
Sm 0.3515 0.9908 0.1242  4 Dy 3.22-3.55, 1 Sm 3.33, 1 Er 3.46
Sm 0.0000 0.0000 0.0000  2 Er 2.97
Er 0.1189 0.8811 0.7500  2 Sm 2.97, 2 Dy 3.04-3.30
Er 0.8811 0.1189 0.2500  2 Sm 2.97, 2 Dy 3.04-3.30